Below is a geometry-optimized Rb2TlCd structure, with properties calculated at the PBE level.

- E_form (kJ per mole of atoms) = 19.8
- excess energy over the best structure of this formula in the dataset (meV/atom) = 266.6
- calculated volume (Å³/atom) = 48.12
- total magnetic moment (μB/atom) = 0.000
- space-group type = R-3m, No. 166
- DFT total energy (eV/atom) = -1.099

```
12
Lattice="4.094 0.000 0.000 -2.047 3.545 0.000 0.000 0.000 39.788" Properties=species:S:1:pos:R:3 pbc="T T T"
Rb 0.000 0.000 3.654
Rb 0.000 0.000 36.134
Rb 0.000 2.364 22.872
Rb 0.000 2.364 30.179
Rb 2.047 1.182 9.609
Rb 2.047 1.182 16.916
Tl 0.000 0.000 0.000
Tl 0.000 2.364 26.525
Tl 2.047 1.182 13.263
Cd 0.000 0.000 19.894
Cd 0.000 2.364 6.631
Cd 2.047 1.182 33.157
```

=====

Below is a geometry-optimized Rb2Tl7Cd structure, with properties calculated at the PBE level.

- E_form (kJ per mole of atoms) = 13.7
- excess energy over the best structure of this formula in the dataset (meV/atom) = 189.8
- calculated volume (Å³/atom) = 42.68
- total magnetic moment (μB/atom) = 0.000
- space-group type = Fm-3m, No. 225
- DFT total energy (eV/atom) = -1.800

```
10
Lattice="0.000 5.976 5.976 5.976 0.000 5.976 5.976 5.976 0.000" Properties=species:S:1:pos:R:3 pbc="T T T"
Rb 2.988 2.988 2.988
Rb 8.964 8.964 8.964
Tl 0.000 0.000 0.000
Tl 5.976 5.976 3.044
Tl 5.976 3.044 5.976
Tl 8.908 5.976 5.976
Tl 3.044 5.976 5.976
Tl 5.976 8.908 5.976
Tl 5.976 5.976 8.908
Cd 5.976 5.976 5.976
```

=====

Below is a geometry-optimized Rb4Tl5Cd structure, with properties calculated at the PBE level.

- E_form (kJ per mole of atoms) = -4.5
- calculated volume (Å³/atom) = 45.40
- total magnetic moment (μB/atom) = 0.000
- space-group type = I4, No. 79
- DFT total energy (eV/atom) = -1.708

```
10
Lattice="-5.491 5.491 3.764 5.491 -5.491 3.764 5.491 5.491 -3.764" Properties=species:S:1:pos:R:3 pbc="T T T"
Rb 7.628 0.766 0.000
Rb 0.766 3.354 0.000
Rb 4.725 2.137 3.764
Rb -2.137 4.725 3.764
Tl 4.677 3.371 0.005
Tl 2.120 -0.814 3.769
Tl 3.371 6.305 0.005
Tl 0.814 2.120 3.769
Tl 0.000 0.000 6.059
Cd 0.000 0.000 1.540
```

=====

Below is a geometry-optimized RbTlCd2 structure, with properties calculated at the PBE level.

- E_form (kJ per mole of atoms) = -3.5
- excess energy over the best structure of this formula in the dataset (meV/atom) = 14.6
- calculated volume (Å³/atom) = 38.06
- total magnetic moment (μB/atom) = 0.000
- space-group type = P2_1/m, No. 11
- DFT total energy (eV/atom) = -1.327

```
8
Lattice="5.146 0.000 0.000 0.000 8.592 0.000 -2.571 0.000 6.886" Properties=species:S:1:pos:R:3 pbc="T T T"
Rb 0.003 2.148 0.725
Rb 2.571 6.444 6.161
Tl 0.003 2.148 4.828
Tl 2.571 6.444 2.057
Cd 0.000 4.981 3.386
Cd 0.000 7.907 3.386
Cd 2.575 0.685 3.500
Cd 2.575 3.611 3.500
```

=====

Below is a geometry-optimized RbTl2Cd4 structure, with properties calculated at the PBE level.

- E_form (kJ per mole of atoms) = -3.9
- excess energy over the best structure of this formula in the dataset (meV/atom) = 0.0
- calculated volume (Å³/atom) = 31.34
- total magnetic moment (μB/atom) = 0.000
- space-group type = R-3m, No. 166
- DFT total energy (eV/atom) = -1.378

```
7
Lattice="2.507 1.448 10.074 -2.507 1.448 10.074 0.000 -2.895 10.074" Properties=species:S:1:pos:R:3 pbc="T T T"
Rb 0.000 0.000 0.000
Tl 0.000 0.000 7.675
Tl 0.000 0.000 22.546
Cd 0.000 0.000 4.321
Cd 0.000 0.000 13.484
Cd 0.000 0.000 16.738
Cd 0.000 0.000 25.901
```

=====

Below is a geometry-optimized RbTl11Cd structure, with properties calculated at the PBE level.

- E_form (kJ per mole of atoms) = -0.8
- calculated volume (Å³/atom) = 32.41
- total magnetic moment (μB/atom) = 0.000
- space-group type = C2/m, No. 12
- DFT total energy (eV/atom) = -2.156

```
13
Lattice="3.231 -8.061 0.000 3.231 8.061 0.000 -3.077 0.000 8.088" Properties=species:S:1:pos:R:3 pbc="T T T"
Rb 0.000 0.000 0.000
Tl -1.539 0.000 4.044
Tl 1.615 4.031 0.000
Tl 0.050 2.862 2.914
Tl 0.170 1.701 6.323
Tl 0.050 -2.862 2.914
Tl 3.214 1.701 1.765
Tl 1.615 -4.031 0.000
Tl 0.170 -1.701 6.323
Tl 3.335 2.862 5.173
Tl 3.214 -1.701 1.765
Tl 3.335 -2.862 5.173
Cd 1.692 0.000 4.044
```

=====

Below is a geometry-optimized Rb2TlCd structure, with properties calculated at the PBE level.

- E_form (kJ per mole of atoms) = -5.9
- excess energy over the best structure of this formula in the dataset (meV/atom) = 0.0
- calculated volume (Å³/atom) = 51.75
- total magnetic moment (μB/atom) = 0.000
- space-group type = Cm, No. 8
- DFT total energy (eV/atom) = -1.365

```
8
Lattice="9.258 0.000 0.000 0.000 5.348 0.000 -3.098 0.000 8.362" Properties=species:S:1:pos:R:3 pbc="T T T"
Rb 0.000 0.000 0.000
Rb -0.002 0.000 4.643
Rb 4.629 2.674 0.000
Rb 4.627 2.674 4.643
Tl 1.541 2.674 2.328
Tl 6.170 0.000 2.328
Cd 3.085 0.000 2.319
Cd 7.714 2.674 2.319
```

=====

Below is a geometry-optimized RbTl2ZnCd structure, with properties calculated at the PBE level.

- E_form (kJ per mole of atoms) = 8.5
- calculated volume (Å³/atom) = 33.67
- total magnetic moment (μB/atom) = 0.000
- space-group type = P4/mmm, No. 123
- DFT total energy (eV/atom) = -1.489

```
5
Lattice="5.549 0.000 0.000 0.000 5.549 0.000 0.000 0.000 5.468" Properties=species:S:1:pos:R:3 pbc="T T T"
Rb 0.000 0.000 0.000
Tl 0.000 2.775 2.734
Tl 2.775 0.000 2.734
Zn 2.775 2.775 2.734
Cd 2.775 2.775 0.000
```